## NdGeRuF (PBE)

Data for NdGeRuF after structural relaxation.

a = 4.2473 Å, b = 4.2473 Å, c = 7.8762 Å
α = 90.00°, β = 90.00°, γ = 90.00°
Last column: nearest neighbours and their distance in Å.
Fractional coordinates of all 8 atoms:
1 Nd 0.5000 0.0000 0.6865  4 F 2.58
2 Nd 0.0000 0.5000 0.3135  4 F 2.58
3 Ge 0.0000 0.5000 0.8431  4 Ru 2.46
4 Ge 0.5000 0.0000 0.1569  4 Ru 2.46
5 Ru 0.5000 0.5000 0.0000  4 Ge 2.46
6 Ru 0.0000 0.0000 0.0000  4 Ge 2.46
7 F 0.0000 0.0000 0.5000  4 Nd 2.58
8 F 0.5000 0.5000 0.5000  4 Nd 2.58

Computed properties:
Density of states at the Fermi level: 1.94 states/eV/f.u.
E_form (uncorrected): -1.737 eV/atom

***

## NdZnGeF (PBE)

Data for NdZnGeF after structural relaxation.

a = 4.0453 Å, b = 4.0453 Å, c = 8.7627 Å
α = 90.00°, β = 90.00°, γ = 90.00°
Last column: nearest neighbours and their distance in Å.
Fractional coordinates of all 8 atoms:
1 Nd 0.5000 0.0000 0.6807  4 F 2.57
2 Nd 0.0000 0.5000 0.3193  4 F 2.57
3 Zn 0.5000 0.5000 0.0000  4 Ge 2.60, 4 Zn 2.86
4 Zn 0.0000 0.0000 0.0000  4 Ge 2.60, 4 Zn 2.86
5 Ge 0.0000 0.5000 0.8131  4 Zn 2.60
6 Ge 0.5000 0.0000 0.1869  4 Zn 2.60
7 F 0.0000 0.0000 0.5000  4 Nd 2.57, 4 F 2.86
8 F 0.5000 0.5000 0.5000  4 Nd 2.57, 4 F 2.86

Computed properties:
Density of states at the Fermi level: 0.61 states/eV/f.u.
E_form (uncorrected): -1.673 eV/atom